The following is a DFT calculation (PBE-GGA) of a relaxed structure of Sr3Li2Ga4.

a b c (Å): 4.584 6.353 8.733
angles (deg): 78.80 74.78 68.85
Sites, in units of the cell vectors:
Sr  0.306  0.771  0.618
Sr  0.000  0.000  0.000
Sr  0.694  0.229  0.382
Li  0.539  0.725  0.197
Li  0.461  0.275  0.803
Ga  0.240  0.424  0.095
Ga  0.760  0.576  0.905
Ga  0.005  0.350  0.640
Ga  0.995  0.650  0.360

Computed properties:
As for the crystal system: monoclinic. The symmetry is C2/m (12). The value obtained for the energy of formation from the pure elements is -0.3334 eV/atom. The calculation puts the spin magnetization at 0.00 Bohr magnetons per cell. As for the total energy: -2.665 eV per atom.